DFT (GGA-PBEsol) results for a geometry-optimized Hg3MoH structure.

abc: 5.3906 5.3906 5.3906
angles: 90.00 90.00 90.00
Last column: nearest neighbours and their distance in Å.
Sites, in units of the cell vectors:
H: 0.5000 0.5000 0.5000  12 Hg 3.81
Mo: 0.0000 0.0000 0.0000  6 Hg 2.70
Hg: 0.0000 0.5000 0.0000  2 Mo 2.70
Hg: 0.0000 0.0000 0.5000  2 Mo 2.70
Hg: 0.5000 0.0000 0.0000  2 Mo 2.70

SG = No. 221
magnetic moment = 4.0 Bohr magnetons per cell
raw total energy = -2.035 eV per atom